Entry 1:
The following is a DFT calculation (GGA-PBE) of a relaxed BaAgSb2 crystal.

It has space group F-43m (No. 216), with a = 7.845 Å, b = 7.845 Å, c = 7.845 Å, α = 90.00°, β = 90.00° and γ = 90.00°. The inequivalent atoms are Ba at (0.000, 0.000, 0.000), Ag at (0.250, 0.250, 0.750), Sb at (0.000, 0.000, 0.500) and Sb at (0.250, 0.250, 0.250).

The volume is 30.18 A^3/atom. The density of states at the Fermi level comes out at 0.3643 states/eV per atom. For the final energy, the calculation gives -13.8 eV per formula unit.

---

Entry 2:
The following is a DFT calculation (GGA-PBE) of a relaxed BaAgSb crystal.

It has space group P6_3/mmc (No. 194), with a = 5.7502 Å, b = 5.7502 Å, c = 6.9405 Å, α = 90.00°, β = 90.00° and γ = 120.00°. The inequivalent atoms are Ba at (0.3333, 0.6667, 0.2500), Ag at (0.0000, 0.0000, 0.0000) and Sb at (0.3333, 0.6667, 0.7500).

The volume is 33.12 A^3/atom. The density of states at the Fermi level comes out at 0.0636 states/eV per atom. For the final energy, the calculation gives -9.9 eV per formula unit.

---

Entry 3:
The following is a DFT calculation (GGA-PBE) of a relaxed BaAgSb crystal.

It has space group P-6m2 (No. 187), with a = 4.8510 Å, b = 4.8510 Å, c = 4.8222 Å, α = 90.00°, β = 90.00° and γ = 120.00°. The inequivalent atoms are Ba at (0.0000, 0.0000, 0.0000), Ag at (0.3333, 0.6667, 0.5000) and Sb at (0.6667, 0.3333, 0.5000).

The volume is 32.76 A^3/atom. The density of states at the Fermi level comes out at 0.1028 states/eV per atom. For the final energy, the calculation gives -11.2 eV per formula unit.

---

Entry 4:
The following is a DFT calculation (GGA-PBE) of a relaxed BaAg4Sb3 crystal.

It has space group P4/mmm (No. 123), with a = 4.883 Å, b = 4.883 Å, c = 8.901 Å, α = 90.00°, β = 90.00° and γ = 90.00°. The inequivalent atoms are Ba at (0.000, 0.000, 0.000), Ag at (0.000, 0.500, 0.327), Sb at (0.000, 0.000, 0.500) and Sb at (0.500, 0.500, 0.162).

The volume is 26.53 A^3/atom. The density of states at the Fermi level comes out at 0.3282 states/eV per atom. For the final energy, the calculation gives -27.9 eV per formula unit.